Density functional theory data (PBE with a Hubbard U) for CrGeSO after structural relaxation.

```
CrGeSO
1.0
4.806 -1.645 0.000
4.806 1.645 0.000
-1.772 0.000 4.919
Cr Ge S O
1 1 1 1
Direct
0.000 0.000 0.000
0.820 0.820 0.368
0.309 0.309 0.715
0.622 0.622 0.173
```

Properties
- energy above the lowest structure with this stoichiometry (meV per atom) = 0
- spin magnetization (μB per formula unit) = 4.00
- symmetry = Cm
- uncorrected energy (eV per atom) = -6.141